Entry from the Alexandria database: crystalline AlCrCu at its relaxed geometry (GGA-PBE).

abc: 2.6370 2.6370 6.4063
angles: 90.00 90.00 120.00
Sites, in units of the cell vectors:
Cu: 0.3333 0.6667 0.6657
Al: 0.0000 0.0000 0.0014
Cr: 0.6667 0.3333 0.3329

Summary:
Its volume is 39 Å³/f.u. The calculation puts the energy of formation from the pure elements at 0.12 eV/atom. For the energy, the calculation gives -17.10 eV per cell. The calculation puts the mass density at 6.1 Mg/m³. As for the space group: P3m1 (156).

=====

Entry from the Alexandria database: crystalline RbPdSe2 at its relaxed geometry (GGA-PBE).

abc: 3.7952 5.5850 5.5885
angles: 107.14 90.00 90.00
Sites, in units of the cell vectors:
Pd: 0.5000 0.2500 0.7500
Se: 0.0000 0.0727 0.9271
Se: 0.0000 0.4273 0.5729
Rb: 0.5000 0.7500 0.2500

Summary:
Its volume is 113 Å³/f.u. For the energy, the calculation gives -15.42 eV per cell. The calculation puts the mass density at 5.1 Mg/m³. As for the space group: Cmmm (65). As for the uncorrected formation energy: -0.572 eV/atom.

=====

Entry from the Alexandria database: crystalline InB at its relaxed geometry (GGA-PBE).

abc: 3.2193 3.8296 16.7881
angles: 90.00 90.00 90.00
Sites, in units of the cell vectors:
B: 0.0000 0.0178 0.2453
B: 0.5000 0.9822 0.7453
B: 0.5000 0.9822 0.2547
B: 0.0000 0.5271 0.0000
B: 0.0000 0.0178 0.7547
B: 0.5000 0.4729 0.5000
In: 0.5000 0.0240 0.0000
In: 0.0000 0.9760 0.5000
In: 0.0000 0.5123 0.8523
In: 0.5000 0.4877 0.6477
In: 0.5000 0.4877 0.3523
In: 0.0000 0.5123 0.1477

Summary:
Its volume is 34 Å³/f.u. The calculation puts the energy of formation from the pure elements at 0.64 eV/atom. For the energy, the calculation gives -48.82 eV per cell. The calculation puts the mass density at 6.0 Mg/m³. As for the space group: Pmmn (59).